Below is a geometry-optimized Pm3Si4Rh4 structure, with properties calculated at the GGA-PBE level.

Structure (POSCAR):
```
Pm3Si4Rh4
1.0
-2.053 2.061 12.273
2.053 -2.061 12.273
2.053 2.061 -12.273
Pm Si Rh
3 4 4
Direct
0.000 0.000 0.000
0.355 0.855 0.500
0.645 0.145 0.500
0.198 0.698 0.500
0.452 0.452 0.000
0.548 0.548 0.000
0.802 0.302 0.500
0.099 0.599 0.500
0.250 0.250 0.000
0.750 0.750 0.000
0.901 0.401 0.500
```

- SG: No. 71
- E_form (uncorrected): -1.0304 eV/atom
- Spin magnetization: 0.000 μB/atom
- VASP energy: -6.971 eV per atom